# 1
VASP calculation (PBE) on crystalline CuAsPtSe2 at its relaxed geometry.

a = 5.1722 Å, b = 5.1722 Å, c = 4.6461 Å
α = 90.00°, β = 90.00°, γ = 90.00°
Sites, in units of the cell vectors:
Cu  0.0000  0.0000  0.0000
As  0.5000  0.5000  0.0000
Pt  0.5000  0.5000  0.5000
Se  0.0000  0.5000  0.5000
Se  0.5000  0.0000  0.5000

Output
symmetry = P4/mmm, No. 123
calculated density = 6.57 g/cm3
magnetization = 0.00 Bohr magnetons per cell
energy above the lowest structure with this stoichiometry = 0 meV/atom
total DFT energy (no corrections) = -3.619 eV/atom
D(E_F) = 6.1 states/eV/cell

---

# 2
VASP calculation (PBE) on crystalline CuAs2PtSe at its relaxed geometry.

a = 4.7963 Å, b = 4.7963 Å, c = 5.3147 Å
α = 90.00°, β = 90.00°, γ = 90.00°
Sites, in units of the cell vectors:
Cu  0.0000  0.0000  0.0000
As  0.0000  0.5000  0.5000
As  0.5000  0.0000  0.5000
Pt  0.5000  0.5000  0.5000
Se  0.5000  0.5000  0.0000

Output
symmetry = P4/mmm, No. 123
calculated density = 6.62 g/cm3
magnetization = 0.00 Bohr magnetons per cell
energy above the lowest structure with this stoichiometry = 0 meV/atom
total DFT energy (no corrections) = -3.816 eV/atom
D(E_F) = 2.6 states/eV/cell

---

# 3
VASP calculation (PBE) on crystalline Sm2CuAs4Pt3 at its relaxed geometry.

a = 4.2067 Å, b = 4.2067 Å, c = 10.8624 Å
α = 90.00°, β = 90.00°, γ = 90.00°
Sites, in units of the cell vectors:
Sm  0.0000  0.5000  0.2348
Sm  0.5000  0.0000  0.7652
Cu  0.5000  0.5000  0.0000
As  0.0000  0.0000  0.5000
As  0.0000  0.5000  0.8689
As  0.5000  0.0000  0.1311
As  0.5000  0.5000  0.5000
Pt  0.0000  0.0000  0.0000
Pt  0.0000  0.5000  0.6436
Pt  0.5000  0.0000  0.3564

Output
symmetry = P-4m2, No. 115
calculated density = 10.79 g/cm3
magnetization = 0.00 Bohr magnetons per cell
total DFT energy (no corrections) = -5.818 eV/atom
D(E_F) = 3.7 states/eV/cell

---

# 4
VASP calculation (PBE) on crystalline Cu2SnAsPt at its relaxed geometry.

a = 4.7090 Å, b = 4.7090 Å, c = 5.1862 Å
α = 90.00°, β = 90.00°, γ = 90.00°
Sites, in units of the cell vectors:
Cu  0.0000  0.5000  0.0000
Cu  0.5000  0.0000  0.0000
Sn  0.0000  0.0000  0.0000
As  0.0000  0.0000  0.5000
Pt  0.5000  0.5000  0.5000

Output
symmetry = P4/mmm, No. 123
calculated density = 7.45 g/cm3
magnetization = 0.00 Bohr magnetons per cell
total DFT energy (no corrections) = -3.437 eV/atom
D(E_F) = 4.0 states/eV/cell

---

Question: total DFT energy (no corrections) of number 2 (CuAs2PtSe)?
Answer: -3.816 eV/atom

---

Question: Among the records above, which one has the lowest calculated density?
Answer: CuAsPtSe2

---

Question: What is the formula in the first record?
Answer: CuAsPtSe2

---

Question: Which formula does entry 1 have?
Answer: CuAsPtSe2